## KCrMo2O8 (GGA+U)

Data for a relaxed structure of KCrMo2O8.

abc: 8.844 8.844 8.844
angles: 35.10 35.10 35.10
Element x y z (fractional)
K  0.000  0.000  0.000
Cr  0.500  0.500  0.500
Mo  0.235  0.235  0.235
Mo  0.765  0.765  0.765
O  0.132  0.488  0.738
O  0.262  0.868  0.512
O  0.306  0.306  0.306
O  0.488  0.738  0.132
O  0.512  0.262  0.868
O  0.694  0.694  0.694
O  0.738  0.132  0.488
O  0.868  0.512  0.262

Output
Crystal system ... trigonal
Energy ... -0.5111 Ry per atom